[1]
Density functional theory data (PBE) for crystalline K6Au2I at its relaxed geometry.

The structure in extended XYZ format:
```
18
Lattice="-5.350 5.976 6.255 5.350 -5.976 6.255 5.350 5.976 -6.255" Properties=species:S:1:pos:R:3 pbc="T T T"
K 5.350 3.365 -3.346
K 2.996 2.071 0.000
K 7.704 2.071 0.000
K 2.116 5.976 -2.110
K 3.234 0.000 4.145
K 0.000 2.612 2.909
K 5.350 3.365 3.346
K 2.116 5.976 2.110
K 3.234 0.000 8.365
K -2.354 3.905 6.255
K 2.354 3.905 6.255
K 0.000 2.612 9.602
Au 5.350 0.000 1.440
Au 0.000 4.413 0.000
Au 0.000 7.539 0.000
Au 0.000 5.976 4.815
I 0.000 0.000 0.000
I 0.000 0.000 6.255
```

Output
Its crystal system is orthorhombic. For the uncorrected formation energy, the calculation gives -0.431 eV/atom. The final energy comes out at -2.06 eV/atom.



[2]
Density functional theory data (PBE) for crystalline K4Au3I at its relaxed geometry.

The structure in extended XYZ format:
```
8
Lattice="2.864 1.653 9.638 -2.864 1.653 9.638 0.000 -3.307 9.638" Properties=species:S:1:pos:R:3 pbc="T T T"
K 0.000 0.000 3.466
K 0.000 0.000 10.782
K 0.000 0.000 18.133
K 0.000 0.000 25.448
Au 0.000 0.000 0.000
Au 0.000 0.000 7.409
Au 0.000 0.000 21.506
I 0.000 0.000 14.457
```

Output
Its crystal system is trigonal. For the uncorrected formation energy, the calculation gives -0.560 eV/atom. The final energy comes out at -2.53 eV/atom.



[3]
Density functional theory data (PBE) for crystalline KAuI6 at its relaxed geometry.

The structure in extended XYZ format:
```
8
Lattice="5.211 0.000 0.000 -0.418 8.252 0.000 -2.082 -0.585 8.875" Properties=species:S:1:pos:R:3 pbc="T T T"
K 0.000 0.000 0.000
Au 2.396 4.126 0.000
I -0.246 0.537 5.253
I 0.816 5.278 1.840
I 0.124 5.722 7.304
I 2.587 1.946 1.571
I 1.895 2.390 7.035
I 2.957 7.131 3.622
```

Output
Its crystal system is triclinic. For the uncorrected formation energy, the calculation gives -0.403 eV/atom. The final energy comes out at -2.11 eV/atom. For the energy above the lowest structure with this stoichiometry, the calculation gives 0 meV/atom.



[4]
Density functional theory data (PBE) for crystalline K2AuI6 at its relaxed geometry.

The structure in extended XYZ format:
```
18
Lattice="7.678 0.000 0.000 0.000 8.046 0.000 -6.898 0.000 11.728" Properties=species:S:1:pos:R:3 pbc="T T T"
K -0.085 0.586 2.952
K -3.534 3.437 8.816
K 4.313 4.609 2.912
K 0.864 7.461 8.776
Au 3.839 0.000 0.000
Au 0.390 4.023 5.864
I -5.334 1.521 11.374
I -1.885 2.502 5.510
I -4.775 5.579 11.699
I -1.326 6.491 5.835
I 0.658 4.313 3.118
I -2.791 7.756 8.982
I 3.570 0.290 2.746
I 0.121 3.733 8.610
I 2.105 1.556 5.893
I 5.554 2.468 0.029
I 2.665 5.545 6.218
I 6.114 6.525 0.354
```

Output
Its crystal system is monoclinic. For the uncorrected formation energy, the calculation gives -0.608 eV/atom. The final energy comes out at -2.25 eV/atom. For the energy above the lowest structure with this stoichiometry, the calculation gives 18 meV/atom.



[5]
Density functional theory data (PBE) for crystalline K12Au6I at its relaxed geometry.

The structure in extended XYZ format:
```
19
Lattice="-5.913 5.913 5.913 5.913 -5.913 5.913 5.913 5.913 -5.913" Properties=species:S:1:pos:R:3 pbc="T T T"
K 5.913 -2.248 3.781
K 3.664 2.132 0.000
K 8.161 2.132 0.000
K 3.781 5.913 -2.248
K 2.132 0.000 3.664
K 0.000 3.664 2.132
K 5.913 2.248 3.781
K 3.781 5.913 2.248
K 2.132 0.000 8.161
K -2.248 3.781 5.913
K 2.248 3.781 5.913
K 0.000 8.161 2.132
Au 5.913 0.000 1.424
Au 5.913 4.489 0.000
Au 1.424 5.913 0.000
Au 4.489 0.000 5.913
Au 0.000 1.424 5.913
Au 0.000 5.913 4.489
I 0.000 0.000 0.000
```

Output
Its crystal system is cubic. For the uncorrected formation energy, the calculation gives -0.316 eV/atom. The final energy comes out at -2.13 eV/atom.



[6]
Density functional theory data (PBE) for crystalline K5Au2I12 at its relaxed geometry.

The structure in extended XYZ format:
```
19
Lattice="9.688 -4.928 0.000 9.688 4.928 0.000 -2.952 0.000 9.683" Properties=species:S:1:pos:R:3 pbc="T T T"
K 0.000 0.000 0.000
K 5.110 0.000 0.087
K 4.408 0.000 6.273
K 12.017 0.000 3.410
K 11.315 0.000 9.596
Au 8.212 1.482 4.841
Au 8.212 -1.482 4.841
I 4.021 2.713 8.344
I 0.768 0.000 6.259
I 6.021 1.769 3.463
I 12.403 2.713 1.338
I 10.404 1.769 6.219
I 9.019 0.000 1.184
I 7.405 0.000 8.498
I 6.021 -1.769 3.463
I 4.021 -2.713 8.344
I 10.404 -1.769 6.219
I 15.656 0.000 3.423
I 12.403 -2.713 1.338
```

Output
Its crystal system is monoclinic. For the uncorrected formation energy, the calculation gives -0.694 eV/atom. The final energy comes out at -2.31 eV/atom.



[7]
Density functional theory data (PBE) for crystalline K2AuI at its relaxed geometry.

The structure in extended XYZ format:
```
8
Lattice="-3.914 3.914 7.647 3.914 -3.914 7.647 3.914 3.914 -7.647" Properties=species:S:1:pos:R:3 pbc="T T T"
K 5.871 1.833 -1.912
K 1.833 1.957 1.912
K -1.957 2.081 5.735
K 2.081 1.957 9.559
Au 0.000 0.000 0.000
Au 0.000 3.914 3.824
I 3.914 0.000 3.824
I 0.000 0.000 7.647
```

Output
Its crystal system is tetragonal. For the uncorrected formation energy, the calculation gives -0.770 eV/atom. The final energy comes out at -2.53 eV/atom. For the energy above the lowest structure with this stoichiometry, the calculation gives 98 meV/atom.



[8]
Density functional theory data (PBE) for crystalline K4AuI3 at its relaxed geometry.

The structure in extended XYZ format:
```
8
Lattice="5.013 -7.084 0.000 5.013 7.084 0.000 0.000 0.000 5.004" Properties=species:S:1:pos:R:3 pbc="T T T"
K 2.450 0.000 2.502
K 5.013 3.588 0.000
K 5.013 -3.588 0.000
K 7.577 0.000 2.502
Au 0.000 0.000 0.000
I 2.507 3.542 2.502
I 2.507 -3.542 2.502
I 5.013 0.000 0.000
```

Output
Its crystal system is orthorhombic. For the uncorrected formation energy, the calculation gives -1.172 eV/atom. The final energy comes out at -2.71 eV/atom.



[9]
Density functional theory data (PBE) for crystalline K3Au5I12 at its relaxed geometry.

The structure in extended XYZ format:
```
80
Lattice="-9.323 9.323 9.323 9.323 -9.323 9.323 9.323 9.323 -9.323" Properties=species:S:1:pos:R:3 pbc="T T T"
K 4.662 2.331 0.000
K 9.323 4.662 -2.331
K 2.331 0.000 4.662
K 11.654 0.000 4.662
K 0.000 4.662 2.331
K 4.662 -2.331 9.323
K 4.662 11.654 0.000
K 9.323 4.662 6.993
K -2.331 9.323 4.662
K 6.993 9.323 4.662
K 0.000 4.662 11.654
K 4.662 6.993 9.323
Au 0.000 0.000 0.000
Au 4.662 4.662 -4.662
Au 4.662 -4.662 4.662
Au 9.323 0.000 0.000
Au 13.985 2.331 0.000
Au 9.323 -4.662 6.993
Au 6.993 9.323 -4.662
Au 6.993 0.000 4.662
Au 4.662 6.993 0.000
Au 9.323 4.662 2.331
Au -4.662 4.662 4.662
Au 0.000 9.323 0.000
Au 0.000 0.000 9.323
Au 4.662 4.662 4.662
Au 0.000 4.662 6.993
Au 4.662 2.331 9.323
Au 2.331 9.323 4.662
Au 2.331 0.000 13.985
Au 0.000 13.985 2.331
Au -4.662 6.993 9.323
I 2.732 -0.533 0.864
I 11.253 5.526 -5.195
I 12.055 0.533 0.864
I 11.253 -3.798 5.195
I 8.790 -0.864 2.732
I 14.518 -1.930 3.798
I 0.864 2.732 -0.533
I 13.121 4.129 -1.930
I 5.526 5.195 -1.930
I 8.460 2.732 0.533
I -0.533 0.864 2.732
I 5.195 -1.930 5.526
I 8.790 8.460 -2.732
I 5.195 1.930 3.798
I 5.526 -5.195 11.253
I 8.460 -2.732 8.790
I 3.798 5.195 1.930
I 10.187 6.592 0.533
I 5.195 11.253 -3.798
I 8.790 0.864 6.592
I 2.732 8.790 -0.864
I 11.253 3.798 4.129
I 1.930 3.798 5.195
I 2.732 0.533 8.460
I 6.592 8.790 0.864
I 7.394 5.526 4.129
I -1.930 5.526 5.195
I 6.592 0.533 10.187
I 0.533 8.460 2.732
I 4.129 -1.930 13.121
I -0.864 2.732 8.790
I 5.526 4.129 7.394
I 0.864 12.055 0.533
I 3.798 14.518 -1.930
I 4.129 7.394 5.526
I 0.533 0.864 12.055
I 4.129 11.253 3.798
I 9.857 8.460 6.592
I 0.864 6.592 8.790
I 3.798 4.129 11.253
I -3.798 5.195 11.253
I 8.460 6.592 9.857
I -5.195 11.253 5.526
I 0.533 10.187 6.592
I -1.930 13.121 4.129
I -2.732 8.790 8.460
I -1.930 3.798 14.518
I 6.592 9.857 8.460
```

Output
Its crystal system is cubic. For the uncorrected formation energy, the calculation gives -0.411 eV/atom. The final energy comes out at -2.33 eV/atom.